No. 1
## AgAs2W (PBE)

Data for a geometry-optimized AgAs2W structure.

Geometry as POSCAR:
```
AgAs2W
1.0
-0.334 -3.233 4.349
-2.521 -4.796 -0.350
3.763 2.837 -2.695
As Ag W
2 1 1
direct
0.000 0.000 0.000
0.250 0.750 0.500
0.750 0.250 0.500
0.500 0.500 0.000
```

## Properties
formation enthalpy at 0 K = 0.605 eV/atom
symmetry = I-4m2, No. 119
volume = 17.238 Å³ per atom
energy above the lowest structure with this stoichiometry = 474 meV/atom
magnetization = 0.66 μB per formula unit
E_tot = -22.7 eV/cell

No. 2
## AgAsW3 (PBE)

Data for a geometry-optimized AgAsW3 structure.

Geometry as POSCAR:
```
AgAsW3
1.0
4.615 0.000 0.000
0.000 4.615 0.000
0.000 0.000 4.615
As Ag W
1 1 3
direct
0.000 0.000 0.000
0.500 0.500 0.500
0.000 0.500 0.000
0.000 0.000 0.500
0.500 0.000 0.000
```

## Properties
formation enthalpy at 0 K = 1.687 eV/atom
symmetry = Pm-3m, No. 221
volume = 19.653 Å³ per atom
energy above the lowest structure with this stoichiometry = 0 meV/atom
magnetization = 0.00 μB per formula unit
E_tot = -37.9 eV/cell

No. 3
## Ag2AsW (PBE)

Data for a geometry-optimized Ag2AsW structure.

Geometry as POSCAR:
```
Ag2AsW
1.0
2.782 0.000 0.000
0.000 2.782 0.000
0.000 0.000 9.074
As Ag W
1 2 1
direct
0.500 0.500 0.250
0.000 0.000 0.991
0.000 0.000 0.509
0.500 0.500 0.750
```

## Properties
formation enthalpy at 0 K = 0.480 eV/atom
symmetry = P4/mmm, No. 123
volume = 17.553 Å³ per atom
magnetization = 0.00 μB per formula unit
E_tot = -21.4 eV/cell